Here is crystalline LaH3Ir at its relaxed geometry from Alexandria via LeMat-Bulk. Energies are from GGA-PBEsol.

Summary:
As for the crystal system: cubic. The total energy comes out at -0.40745 Ry per atom. The space group is Pm-3m (221).

Unit cell a=3.762 b=3.762 c=3.762 alpha=90.00 beta=90.00 gamma=90.00
Atoms (fractional coordinates):
La 0.000 0.000 0.000
H 0.000 0.500 0.500
H 0.500 0.000 0.500
H 0.500 0.500 0.000
Ir 0.500 0.500 0.500

=====

Here is crystalline AgRhC2 at its relaxed geometry from Alexandria via LeMat-Bulk. Energies are from GGA-PBEsol.

Summary:
Its energy of formation is 1.247 eV/atom. The energy above the lowest structure with this stoichiometry comes out at 0.0 meV per atom. As for the crystal system: tetragonal. The space group is I-42d (122).

Unit cell a=5.609 b=5.609 c=5.609 alpha=128.73 beta=128.73 gamma=75.44
Atoms (fractional coordinates):
Ag 0.000 0.000 0.000
Ag 0.750 0.250 0.500
Rh 0.250 0.750 0.500
Rh 0.500 0.500 0.000
C 0.171 0.125 0.546
C 0.375 0.829 0.954
C 0.579 0.625 0.454
C 0.875 0.421 0.046

=====

Here is crystalline NiRu2 at its relaxed geometry from Alexandria via LeMat-Bulk. Energies are from GGA-PBEsol.

Summary:
Its energy of formation is 0.079 eV/atom. The energy above the lowest structure with this stoichiometry comes out at 12.1 meV per atom. As for the crystal system: monoclinic. The space group is C2/m (12).

Unit cell a=4.875 b=4.875 c=6.126 alpha=104.03 beta=104.03 gamma=31.94
Atoms (fractional coordinates):
Ni 0.027 0.027 0.306
Ni 0.973 0.973 0.694
Ru 0.307 0.307 0.365
Ru 0.360 0.360 0.965
Ru 0.640 0.640 0.035
Ru 0.693 0.693 0.635

=====

Here is crystalline Al2IrRu at its relaxed geometry from Alexandria via LeMat-Bulk. Energies are from GGA-PBEsol.

Summary:
Its energy of formation is -0.839 eV/atom. As for the crystal system: tetragonal. The space group is P4/mmm (123).

Unit cell a=4.212 b=4.212 c=2.979 alpha=90.00 beta=90.00 gamma=90.00
Atoms (fractional coordinates):
Al 0.000 0.500 0.000
Al 0.500 0.000 0.000
Ir 0.000 0.000 0.500
Ru 0.500 0.500 0.500